A geometry-optimized VGaO3 structure, computed with PBE+U.

Calculated values
Symmetry: Pm-3m, No. 221
Magnetization in μB/cell: 2.00
E_tot in eV/atom: -6.082

Unit cell a=3.786 b=3.786 c=3.786 alpha=90.00 beta=90.00 gamma=90.00
Element x y z (fractional)
O: 0.500 0.000 0.000
Ga: 0.000 0.000 0.000
V: 0.500 0.500 0.500
O: 0.000 0.500 0.000
O: 0.000 0.000 0.500